## LaMg2Zr (PBE)

Data for crystalline LaMg2Zr at its relaxed geometry.

**Space group**: F-43m
**Electronic total energy**: -3.92 eV per atom
**Energy of formation**: 97 kJ/mol of formula units
**Calculated volume**: 26.433 A^3/atom
**Energy above the lowest structure with this stoichiometry**: 217 meV/atom

```
4
Lattice="5.3077 0.0000 0.0000 2.6538 4.5966 0.0000 2.6538 1.5322 4.3337" Properties=species:S:1:pos:R:3 pbc="T T T"
Mg 0.0000 0.0000 0.0000
Mg 7.9615 4.5966 3.2503
Zr 2.6538 1.5322 1.0834
La 5.3077 3.0644 2.1669
```



## LaMgZr3 (PBE)

Data for crystalline LaMgZr3 at its relaxed geometry.

**Space group**: Pm-3m
**Electronic total energy**: -5.32 eV per atom
**Energy of formation**: 536 kJ/mol of formula units
**Calculated volume**: 27.795 A^3/atom
**Energy above the lowest structure with this stoichiometry**: 238 meV/atom

```
5
Lattice="5.1798 0.0000 0.0000 0.0000 5.1798 0.0000 0.0000 0.0000 5.1798" Properties=species:S:1:pos:R:3 pbc="T T T"
La 0.0000 0.0000 0.0000
Zr 0.0000 0.0000 2.5899
Zr 0.0000 2.5899 0.0000
Zr 2.5899 0.0000 0.0000
Mg 2.5899 2.5899 2.5899
```



## LaMgZr2 (PBE)

Data for crystalline LaMgZr2 at its relaxed geometry.

**Space group**: Immm
**Electronic total energy**: -5.77 eV per atom
**Energy of formation**: 53 kJ/mol of formula units
**Calculated volume**: 25.874 A^3/atom

```
4
Lattice="6.3665 -0.0169 -0.0091 3.1359 5.5407 0.0091 -4.0825 -3.9122 2.9258" Properties=species:S:1:pos:R:3 pbc="T T T"
La 3.5176 -0.5836 1.4584
Mg 1.9023 2.1952 1.4674
Zr 4.5653 2.6538 0.0000
Zr 0.1859 0.1081 0.0000
```



## LaMgZr2 (PBE)

Data for crystalline LaMgZr2 at its relaxed geometry.

**Space group**: P4mm
**Electronic total energy**: -5.87 eV per atom
**Energy of formation**: 13 kJ/mol of formula units
**Calculated volume**: 26.111 A^3/atom

```
4
Lattice="-1.9883 1.7184 -1.9323 1.1927 -1.5533 -2.6086 -6.9044 -6.9111 0.9586" Properties=species:S:1:pos:R:3 pbc="T T T"
Mg -5.7292 -5.2540 -1.5303
Zr -1.9444 -1.4656 -2.0557
Zr -0.0412 -0.0412 0.0057
La -3.4375 -3.4408 0.4773
```



## LaMg2Zr (PBE)

Data for crystalline LaMg2Zr at its relaxed geometry.

**Space group**: Pm
**Electronic total energy**: -4.08 eV per atom
**Energy of formation**: 34 kJ/mol of formula units
**Calculated volume**: 25.995 A^3/atom
**Energy above the lowest structure with this stoichiometry**: 55 meV/atom

```
4
Lattice="-4.6643 1.7604 -0.4049 -0.2221 -1.2749 -2.9846 -2.3774 -6.0702 0.9949" Properties=species:S:1:pos:R:3 pbc="T T T"
Mg -0.0690 -0.3035 -0.5243
Mg -2.9698 -0.7889 -0.1134
La -4.3314 -4.7937 -1.8410
Zr -1.1933 -3.3711 -0.9107
```



## LaMg2Zr (PBE)

Data for crystalline LaMg2Zr at its relaxed geometry.

**Space group**: Pmmm
**Electronic total energy**: -4.11 eV per atom
**Energy of formation**: 22 kJ/mol of formula units
**Calculated volume**: 25.973 A^3/atom
**Energy above the lowest structure with this stoichiometry**: 23 meV/atom

```
4
Lattice="-2.7111 -2.0297 0.0941 0.2134 -0.4922 -4.4670 4.0748 -5.4062 0.7903" Properties=species:S:1:pos:R:3 pbc="T T T"
Zr -0.2301 -2.6125 -1.9889
Mg 1.9174 -2.5438 0.3719
Mg 0.1201 -0.1593 0.0233
La 1.8073 -5.3156 -1.5937
```



## LaMg2Zr (PBE)

Data for crystalline LaMg2Zr at its relaxed geometry.

**Space group**: Pmm2
**Electronic total energy**: -4.04 eV per atom
**Energy of formation**: 49 kJ/mol of formula units
**Calculated volume**: 26.162 A^3/atom
**Energy above the lowest structure with this stoichiometry**: 93 meV/atom

```
4
Lattice="3.2653 0.0000 0.0000 0.0000 4.7521 0.0000 0.0000 0.0000 6.7441" Properties=species:S:1:pos:R:3 pbc="T T T"
Zr 0.0000 0.0000 3.3178
Mg 0.0000 0.0000 0.1167
Mg 1.6327 2.3760 1.7124
La 1.6327 2.3760 4.9692
```



## LaMgZr2 (PBE)

Data for crystalline LaMgZr2 at its relaxed geometry.

**Space group**: C2/m
**Electronic total energy**: -5.77 eV per atom
**Energy of formation**: 50 kJ/mol of formula units
**Calculated volume**: 25.399 A^3/atom

```
4
Lattice="5.7943 0.0012 0.0084 4.8752 3.1315 0.0084 1.0130 0.2974 5.6026" Properties=species:S:1:pos:R:3 pbc="T T T"
Mg 2.9206 0.8575 1.4048
Zr 10.5615 3.1010 0.1053
Zr 5.9493 1.7468 2.7212
La 8.7619 2.5726 4.2145
```



## LaMg2Zr (PBE)

Data for crystalline LaMg2Zr at its relaxed geometry.

**Space group**: Immm
**Electronic total energy**: -4.07 eV per atom
**Energy of formation**: 37 kJ/mol of formula units
**Calculated volume**: 26.068 A^3/atom
**Energy above the lowest structure with this stoichiometry**: 62 meV/atom

```
4
Lattice="6.5763 -0.0020 -0.0012 3.5820 5.5152 0.0012 -4.4773 -3.8655 2.8739" Properties=species:S:1:pos:R:3 pbc="T T T"
La 2.0919 2.2031 1.4375
Mg 9.9643 5.4078 0.0000
Mg 5.2732 2.8619 0.0000
Zr 3.5891 -0.5555 1.4364
```



## LaMg2Zr (PBE)

Data for crystalline LaMg2Zr at its relaxed geometry.

**Space group**: P4mm
**Electronic total energy**: -4.13 eV per atom
**Energy of formation**: 13 kJ/mol of formula units
**Calculated volume**: 26.144 A^3/atom
**Energy above the lowest structure with this stoichiometry**: 1 meV/atom

```
4
Lattice="-2.8154 -1.5225 -0.9705 1.4598 -0.8615 -2.8832 2.9699 -7.9682 3.8844" Properties=species:S:1:pos:R:3 pbc="T T T"
Mg 0.0628 -3.1789 -0.9583
Mg 0.0932 -0.2501 0.1219
La 1.5325 -7.1222 0.9640
Zr 1.4107 -3.7850 1.8451
```



## LaMgZr2 (PBE)

Data for crystalline LaMgZr2 at its relaxed geometry.

**Space group**: I-42d
**Electronic total energy**: -5.49 eV per atom
**Energy of formation**: 161 kJ/mol of formula units
**Calculated volume**: 26.520 A^3/atom

```
8
Lattice="4.4231 0.0000 0.0000 0.0000 4.4231 0.0000 2.2116 2.2116 10.8443" Properties=species:S:1:pos:R:3 pbc="T T T"
La 0.0000 0.0000 0.0000
La 4.4231 2.2116 5.4222
Mg 2.2116 2.2116 0.0000
Mg 2.2116 4.4231 5.4222
Zr 5.5289 5.4976 8.1333
Zr 3.3174 3.3487 8.1333
Zr 3.2860 1.1058 2.7111
Zr 1.1371 3.3174 2.7111
```



## LaMg2Zr2 (PBE)

Data for crystalline LaMg2Zr2 at its relaxed geometry.

**Space group**: P4/mbm
**Electronic total energy**: -4.86 eV per atom
**Energy of formation**: 86 kJ/mol of formula units
**Calculated volume**: 25.232 A^3/atom
**Energy above the lowest structure with this stoichiometry**: 36 meV/atom

```
10
Lattice="-6.6290 -5.4179 2.0452 3.9352 -1.9335 7.6326 -1.5719 2.4649 1.4348" Properties=species:S:1:pos:R:3 pbc="T T T"
Mg 0.7027 -1.3840 3.1473
Mg -3.3965 -5.9675 6.5305
Mg -3.6370 -3.5892 2.1814
Mg 0.9432 -3.7623 7.4964
Zr -2.2499 -0.8662 2.7188
Zr -2.0158 -4.0204 8.3939
Zr 0.7098 -1.0221 6.2290
Zr -4.9754 -3.8645 4.8836
La -1.3469 -3.6757 4.8389
La 0.0000 0.0000 0.0000
```



## LaMgZr4 (PBE)

Data for crystalline LaMgZr4 at its relaxed geometry.

**Space group**: F-43m
**Electronic total energy**: -6.51 eV per atom
**Energy of formation**: 160 kJ/mol of formula units
**Calculated volume**: 26.143 A^3/atom

```
6
Lattice="4.9864 -2.4981 -2.3537 1.7994 -5.4784 1.8423 -0.4630 -4.7492 -3.7250" Properties=species:S:1:pos:R:3 pbc="T T T"
Zr 2.3830 -4.7962 -1.5967
Zr 2.1550 -7.1349 -3.4309
Zr 3.2691 -7.4940 -0.6895
Zr 4.8385 -6.0264 -2.7557
La 4.7421 -9.5443 -3.1773
Mg 0.0000 0.0000 0.0000
```



## LaMgZr2 (PBE)

Data for crystalline LaMgZr2 at its relaxed geometry.

**Space group**: Pmmm
**Electronic total energy**: -5.74 eV per atom
**Energy of formation**: 64 kJ/mol of formula units
**Calculated volume**: 25.517 A^3/atom

```
4
Lattice="3.3988 0.0000 0.0000 0.0000 5.6000 0.0000 0.0000 0.0000 5.3627" Properties=species:S:1:pos:R:3 pbc="T T T"
Zr 1.6994 2.8000 0.0000
Zr 0.0000 0.0000 0.0000
Mg 0.0000 2.8000 2.6813
La 1.6994 0.0000 2.6813
```



## LaMgZr2 (PBE)

Data for crystalline LaMgZr2 at its relaxed geometry.

**Space group**: Cmmm
**Electronic total energy**: -5.69 eV per atom
**Energy of formation**: 83 kJ/mol of formula units
**Calculated volume**: 25.150 A^3/atom

```
4
Lattice="-0.0428 -2.3077 -2.1051 -0.1808 -0.8828 2.9912 -11.4228 0.6631 -0.4949" Properties=species:S:1:pos:R:3 pbc="T T T"
La -2.9675 -1.4295 0.3193
Mg -8.6789 -1.0979 0.0719
Zr -5.8518 0.3397 -0.2535
Zr -11.2824 0.6549 -0.4888
```



## LaMgZr2 (PBE)

Data for crystalline LaMgZr2 at its relaxed geometry.

**Space group**: P2/m
**Electronic total energy**: -5.72 eV per atom
**Energy of formation**: 71 kJ/mol of formula units
**Calculated volume**: 25.860 A^3/atom

```
4
Lattice="-0.2663 -4.5719 2.7560 2.7571 0.7401 1.4941 -2.1104 3.0528 4.8603" Properties=species:S:1:pos:R:3 pbc="T T T"
Zr 0.4676 2.0291 3.4111
Zr 0.5025 3.6603 6.1205
Mg 0.3519 0.5587 6.1438
La 0.0285 -1.3377 2.9666
```



## LaMg2Zr (PBE)

Data for crystalline LaMg2Zr at its relaxed geometry.

**Space group**: Pmmm
**Electronic total energy**: -4.04 eV per atom
**Energy of formation**: 50 kJ/mol of formula units
**Calculated volume**: 25.798 A^3/atom
**Energy above the lowest structure with this stoichiometry**: 96 meV/atom

```
4
Lattice="3.4301 0.0000 0.0000 0.0000 5.2207 0.0000 0.0000 0.0000 5.7624" Properties=species:S:1:pos:R:3 pbc="T T T"
Mg 1.7150 2.6104 0.0000
Mg 0.0000 0.0000 0.0000
Zr 1.7150 0.0000 2.8812
La 0.0000 2.6104 2.8812
```



## LaMg2Zr (PBE)

Data for crystalline LaMg2Zr at its relaxed geometry.

**Space group**: I-42d
**Electronic total energy**: -3.79 eV per atom
**Energy of formation**: 147 kJ/mol of formula units
**Calculated volume**: 27.766 A^3/atom
**Energy above the lowest structure with this stoichiometry**: 347 meV/atom

```
8
Lattice="8.6543 0.0000 0.0000 0.0000 8.6543 0.0000 4.3271 4.3271 2.9658" Properties=species:S:1:pos:R:3 pbc="T T T"
La 8.6543 4.3271 1.4829
La 0.0000 0.0000 0.0000
Mg 2.3873 6.4907 0.7415
Mg 6.2670 2.1636 0.7415
Mg 6.4907 6.7144 2.2244
Mg 10.8179 10.5941 2.2244
Zr 4.3271 8.6543 1.4829
Zr 4.3271 4.3271 0.0000
```



## LaMg4Zr (PBE)

Data for crystalline LaMg4Zr at its relaxed geometry.

**Space group**: F-43m
**Electronic total energy**: -3.27 eV per atom
**Energy of formation**: 25 kJ/mol of formula units
**Calculated volume**: 25.147 A^3/atom

```
6
Lattice="0.0000 4.2254 4.2254 4.2254 0.0000 4.2254 4.2254 4.2254 0.0000" Properties=species:S:1:pos:R:3 pbc="T T T"
Mg 5.2722 5.2722 3.1786
Mg 3.1786 3.1786 3.1786
Mg 3.1786 5.2722 5.2722
Mg 5.2722 3.1786 5.2722
Zr 6.3381 6.3381 6.3381
La 0.0000 0.0000 0.0000
```



## LaMgZr2 (PBE)

Data for crystalline LaMgZr2 at its relaxed geometry.

**Space group**: F-43m
**Electronic total energy**: -5.76 eV per atom
**Energy of formation**: 58 kJ/mol of formula units
**Calculated volume**: 25.535 A^3/atom

```
4
Lattice="5.2469 0.0000 0.0000 2.6235 4.5440 0.0000 2.6235 1.5147 4.2841" Properties=species:S:1:pos:R:3 pbc="T T T"
La 5.2469 3.0293 2.1420
Zr 0.0000 0.0000 0.0000
Zr 2.6235 1.5147 1.0710
Mg 7.8704 4.5440 3.2131
```